This record from the Alexandria database describes a relaxed structure of LiTeMoI2. The functional is PBEsol.

Cell and atoms, written as POSCAR:
```
LiTeMoI2
1.0
5.6690 0.0000 0.0000
0.0000 5.6690 0.0000
0.0000 0.0000 5.1817
Li Te Mo I
1 1 1 2
Direct
0.0000 0.0000 0.0000
0.5000 0.5000 0.0000
0.5000 0.5000 0.5000
0.0000 0.5000 0.5000
0.5000 0.0000 0.5000
```

Results
**Energy**: -20.4 eV/cell
**Formation energy from raw total energies**: 0.0887 eV/atom